Record 1
{"formula": "ScNbCoSe", "functional": "PBE-GGA", "state": "relaxed", "lattice": [[3.642, 0.000, 0.000], [0.000, 3.642, 0.000], [0.000, 0.000, 5.364]], "species": ["Sc", "Nb", "Co", "Se"], "frac_coords": [[0.000, 0.000, 0.000], [0.500, 0.500, 0.503], [0.000, 0.000, 0.502], [0.500, 0.500, 0.004]], "m_tot_mub_per_fu": 0.00, "dft_energy_ha_per_atom": -0.264, "space_group": "P4mm"}

***

Record 2
{"formula": "ScNbCoSe", "functional": "PBE-GGA", "state": "relaxed", "lattice": [[3.583, 0.000, 0.000], [-1.792, 3.103, 0.000], [0.000, 0.000, 6.606]], "species": ["Sc", "Nb", "Co", "Se"], "frac_coords": [[0.000, 0.000, 0.000], [0.667, 0.333, 0.429], [0.333, 0.667, 0.241], [0.333, 0.667, 0.708]], "m_tot_mub_per_fu": 0.00, "dft_energy_ha_per_atom": -0.264, "space_group": "P3m1"}

***

Record 3
{"formula": "ScTa2NbCo", "functional": "PBE-GGA", "state": "relaxed", "lattice": [[4.721, 0.000, 0.000], [0.000, 4.721, 0.000], [0.000, 0.000, 4.536]], "species": ["Sc", "Ta", "Ta", "Nb", "Co"], "frac_coords": [[0.000, 0.000, 0.000], [0.000, 0.500, 0.000], [0.500, 0.000, 0.000], [0.000, 0.000, 0.500], [0.500, 0.500, 0.500]], "m_tot_mub_per_fu": 0.00, "dft_energy_ha_per_atom": -0.268, "space_group": "P4/mmm"}

***

Record 4
{"formula": "ScNbCoTc", "functional": "PBE-GGA", "state": "relaxed", "lattice": [[0.000, 3.152, 3.152], [3.152, 0.000, 3.152], [3.152, 3.152, 0.000]], "species": ["Sc", "Nb", "Co", "Tc"], "frac_coords": [[0.000, 0.000, 0.000], [0.500, 0.500, 0.500], [0.250, 0.250, 0.250], [0.750, 0.750, 0.750]], "m_tot_mub_per_fu": 0.25, "dft_energy_ha_per_atom": -0.321, "space_group": "F-43m"}

***

Record 5
{"formula": "ScNbCoTc", "functional": "PBE-GGA", "state": "relaxed", "lattice": [[3.177, 0.000, 0.000], [0.000, 3.177, 0.000], [0.000, 0.000, 6.282]], "species": ["Sc", "Nb", "Co", "Tc"], "frac_coords": [[0.000, 0.000, 0.000], [0.000, 0.000, 0.493], [0.500, 0.500, 0.259], [0.500, 0.500, 0.728]], "m_tot_mub_per_fu": 0.01, "dft_energy_ha_per_atom": -0.322, "space_group": "P4mm"}

***

Record 6
{"formula": "Sc2NbVCo", "functional": "PBE-GGA", "state": "relaxed", "lattice": [[4.769, 0.000, 0.000], [0.000, 4.769, 0.000], [0.000, 0.000, 4.555]], "species": ["Sc", "Sc", "Nb", "V", "Co"], "frac_coords": [[0.000, 0.500, 0.000], [0.500, 0.000, 0.000], [0.000, 0.000, 0.500], [0.000, 0.000, 0.000], [0.500, 0.500, 0.500]], "m_tot_mub_per_fu": 0.00, "dft_energy_ha_per_atom": -0.248, "space_group": "P4/mmm"}

***

Record 7
{"formula": "Nb2CoSe5", "functional": "PBE-GGA", "state": "relaxed", "lattice": [[2.529, -6.289, 0.000], [2.529, 6.289, 0.000], [0.000, 0.000, 11.483]], "species": ["Nb", "Nb", "Nb", "Nb", "Co", "Co", "Se", "Se", "Se", "Se", "Se", "Se", "Se", "Se", "Se", "Se"], "frac_coords": [[0.178, 0.822, 0.536], [0.178, 0.822, 0.964], [0.822, 0.178, 0.036], [0.822, 0.178, 0.464], [0.193, 0.807, 0.250], [0.807, 0.193, 0.750], [0.043, 0.957, 0.118], [0.043, 0.957, 0.382], [0.264, 0.736, 0.750], [0.336, 0.664, 0.101], [0.336, 0.664, 0.399], [0.664, 0.336, 0.601], [0.664, 0.336, 0.899], [0.736, 0.264, 0.250], [0.957, 0.043, 0.618], [0.957, 0.043, 0.882]], "m_tot_mub_per_fu": 1.22, "dft_energy_ha_per_atom": -0.222, "space_group": "Cmcm"}

***

Record 8
{"formula": "NbCoSe", "functional": "PBE-GGA", "state": "relaxed", "lattice": [[4.521, -1.817, 0.000], [4.521, 1.817, 0.000], [-3.261, 0.000, 7.332]], "species": ["Nb", "Nb", "Co", "Co", "Se", "Se"], "frac_coords": [[0.105, 0.105, 0.403], [0.895, 0.895, 0.597], [0.386, 0.386, 0.365], [0.614, 0.614, 0.635], [0.277, 0.277, 0.786], [0.723, 0.723, 0.214]], "m_tot_mub_per_fu": 0.00, "dft_energy_ha_per_atom": -0.262, "space_group": "C2/m"}

***

Record 9
{"formula": "NbCo2Se", "functional": "PBE-GGA", "state": "relaxed", "lattice": [[-2.684, 2.684, 5.237], [2.684, -2.684, 5.237], [2.684, 2.684, -5.237]], "species": ["Nb", "Nb", "Co", "Co", "Co", "Co", "Se", "Se"], "frac_coords": [[0.000, 0.000, 0.000], [0.750, 0.250, 0.500], [0.148, 0.625, 0.023], [0.375, 0.398, 0.523], [0.602, 0.125, 0.977], [0.875, 0.852, 0.477], [0.250, 0.750, 0.500], [0.500, 0.500, 0.000]], "m_tot_mub_per_fu": 0.00, "dft_energy_ha_per_atom": -0.239, "space_group": "I-42d"}

***

Record 10
{"formula": "Nb2Co2Se", "functional": "PBE-GGA", "state": "relaxed", "lattice": [[-2.103, 2.103, 4.789], [2.103, -2.103, 4.789], [2.103, 2.103, -4.789]], "species": ["Nb", "Nb", "Co", "Co", "Se"], "frac_coords": [[0.250, 0.750, 0.500], [0.750, 0.250, 0.500], [0.115, 0.115, 0.000], [0.885, 0.885, 0.000], [0.500, 0.500, 0.000]], "m_tot_mub_per_fu": 0.00, "dft_energy_ha_per_atom": -0.269, "space_group": "I4/mmm"}

***

Record 11
{"formula": "NbCoSe6", "functional": "PBE-GGA", "state": "relaxed", "lattice": [[5.954, 0.000, 0.000], [2.705, 5.428, 0.000], [2.721, 0.968, 5.387]], "species": ["Nb", "Co", "Se", "Se", "Se", "Se", "Se", "Se"], "frac_coords": [[0.000, 0.000, 0.000], [0.500, 0.500, 0.500], [0.054, 0.735, 0.733], [0.318, 0.579, 0.187], [0.420, 0.107, 0.676], [0.580, 0.893, 0.324], [0.682, 0.421, 0.813], [0.946, 0.265, 0.267]], "m_tot_mub_per_fu": 0.00, "dft_energy_ha_per_atom": -0.183, "space_group": "P-1"}

***

Record 12
{"formula": "Nb2Co2Se", "functional": "PBE-GGA", "state": "relaxed", "lattice": [[6.719, 0.000, 0.000], [0.000, 6.719, 0.000], [0.000, 0.000, 3.334]], "species": ["Nb", "Nb", "Nb", "Nb", "Co", "Co", "Co", "Co", "Se", "Se"], "frac_coords": [[0.164, 0.336, 0.000], [0.336, 0.836, 0.000], [0.664, 0.164, 0.000], [0.836, 0.664, 0.000], [0.128, 0.628, 0.500], [0.372, 0.128, 0.500], [0.628, 0.872, 0.500], [0.872, 0.372, 0.500], [0.000, 0.000, 0.500], [0.500, 0.500, 0.500]], "m_tot_mub_per_fu": 0.00, "dft_energy_ha_per_atom": -0.279, "space_group": "P4/mbm"}